{
  "formula": "Te2MoBr",
  "functional": "GGA-PBE",
  "state": "optimized geometry",
  "cell": [[1.7592, -2.6810, 0.0000], [1.7592, 2.6810, 0.0000], [0.0000, 0.0000, 10.6415]],
  "species": ["Te", "Te", "Mo", "Br"],
  "frac_coords": [[0.0000, 0.0000, 0.1996], [0.0000, 0.0000, 0.8004], [0.5000, 0.5000, 0.0000], [0.5000, 0.5000, 0.5000]],
  "sg": "Cmmm, No. 65",
  "total_energy_ry_per_atom": -0.321,
  "crystal_system": "orthorhombic",
  "e_above_lowest_polymorph_ev_per_atom": 0.4075
}



{
  "formula": "LaAlO3",
  "functional": "GGA-PBE",
  "state": "optimized geometry",
  "cell": [[2.6963, -5.6756, 0.0000], [2.6963, 5.6756, 0.0000], [0.0000, 0.0000, 3.7242]],
  "species": ["La", "La", "Al", "Al", "O", "O", "O", "O", "O", "O"],
  "frac_coords": [[0.1452, 0.8548, 0.0000], [0.8548, 0.1452, 0.0000], [0.3801, 0.6199, 0.5000], [0.6199, 0.3801, 0.5000], [0.0000, 0.5000, 0.5000], [0.2503, 0.2503, 0.5000], [0.3581, 0.6419, 0.0000], [0.5000, 0.0000, 0.5000], [0.6419, 0.3581, 0.0000], [0.7497, 0.7497, 0.5000]],
  "sg": "Cmmm, No. 65",
  "total_energy_ry_per_atom": -0.578,
  "crystal_system": "orthorhombic"
}



{
  "formula": "LiNd4Sn15",
  "functional": "GGA-PBE",
  "state": "optimized geometry",
  "cell": [[4.7158, 0.0000, 0.0000], [0.0000, 4.7158, 0.0000], [0.0000, 0.0000, 24.1058]],
  "species": ["Li", "Nd", "Nd", "Nd", "Nd", "Sn", "Sn", "Sn", "Sn", "Sn", "Sn", "Sn", "Sn", "Sn", "Sn", "Sn", "Sn", "Sn", "Sn", "Sn"],
  "frac_coords": [[0.0000, 0.0000, 0.0000], [0.0000, 0.0000, 0.2000], [0.0000, 0.0000, 0.3990], [0.0000, 0.0000, 0.6010], [0.0000, 0.0000, 0.8000], [0.0000, 0.5000, 0.0937], [0.0000, 0.5000, 0.2983], [0.0000, 0.5000, 0.5000], [0.0000, 0.5000, 0.7017], [0.0000, 0.5000, 0.9063], [0.5000, 0.0000, 0.0937], [0.5000, 0.0000, 0.2983], [0.5000, 0.0000, 0.5000], [0.5000, 0.0000, 0.7017], [0.5000, 0.0000, 0.9063], [0.5000, 0.5000, 0.0000], [0.5000, 0.5000, 0.1947], [0.5000, 0.5000, 0.3998], [0.5000, 0.5000, 0.6002], [0.5000, 0.5000, 0.8053]],
  "sg": "P4/mmm, No. 123",
  "total_energy_ry_per_atom": -0.329,
  "e_form_ev_per_atom": -0.42,
  "crystal_system": "tetragonal"
}



{
  "formula": "ZrZn2Co2",
  "functional": "GGA-PBE",
  "state": "optimized geometry",
  "cell": [[6.9316, 0.0000, 0.0000], [0.0000, 6.9316, 0.0000], [0.0000, 0.0000, 2.9287]],
  "species": ["Zr", "Zr", "Zn", "Zn", "Zn", "Zn", "Co", "Co", "Co", "Co"],
  "frac_coords": [[0.0000, 0.0000, 0.0000], [0.5000, 0.5000, 0.0000], [0.1502, 0.3498, 0.5000], [0.3498, 0.8498, 0.5000], [0.6502, 0.1502, 0.5000], [0.8498, 0.6502, 0.5000], [0.1441, 0.6441, 0.0000], [0.3559, 0.1441, 0.0000], [0.6441, 0.8559, 0.0000], [0.8559, 0.3559, 0.0000]],
  "sg": "P4/mbm, No. 127",
  "total_energy_ry_per_atom": -0.378,
  "e_form_ev_per_atom": -0.09,
  "crystal_system": "tetragonal",
  "e_above_lowest_polymorph_ev_per_atom": 0.0000
}



{
  "formula": "Pr4Ho2N",
  "functional": "GGA-PBE",
  "state": "optimized geometry",
  "cell": [[-2.5304, 2.5304, 8.8300], [2.5304, -2.5304, 8.8300], [2.5304, 2.5304, -8.8300]],
  "species": ["Pr", "Pr", "Pr", "Pr", "Ho", "Ho", "N"],
  "frac_coords": [[0.0000, 0.5000, 0.5000], [0.1371, 0.1371, 0.0000], [0.5000, 0.0000, 0.5000], [0.8629, 0.8629, 0.0000], [0.3381, 0.3381, 0.0000], [0.6619, 0.6619, 0.0000], [0.0000, 0.0000, 0.0000]],
  "sg": "I4/mmm, No. 139",
  "total_energy_ry_per_atom": -0.395,
  "crystal_system": "tetragonal"
}



{
  "formula": "VAsRuSe2",
  "functional": "GGA-PBE",
  "state": "optimized geometry",
  "cell": [[4.7160, 0.0000, 0.0000], [0.0000, 4.7160, 0.0000], [0.0000, 0.0000, 4.7364]],
  "species": ["V", "As", "Ru", "Se", "Se"],
  "frac_coords": [[0.0000, 0.0000, 0.0000], [0.0000, 0.0000, 0.5000], [0.5000, 0.5000, 0.5000], [0.0000, 0.5000, 0.0000], [0.5000, 0.0000, 0.0000]],
  "sg": "P4/mmm, No. 123",
  "total_energy_ry_per_atom": -0.388,
  "crystal_system": "tetragonal",
  "e_above_lowest_polymorph_ev_per_atom": 0.0000
}



{
  "formula": "LiNiB3",
  "functional": "GGA-PBE",
  "state": "optimized geometry",
  "cell": [[3.7610, 0.0000, 0.0000], [0.0000, 3.7610, 0.0000], [0.0000, 0.0000, 3.7610]],
  "species": ["Li", "Ni", "B", "B", "B"],
  "frac_coords": [[0.0000, 0.0000, 0.0000], [0.5000, 0.5000, 0.5000], [0.0000, 0.5000, 0.5000], [0.5000, 0.0000, 0.5000], [0.5000, 0.5000, 0.0000]],
  "sg": "Pm-3m, No. 221",
  "total_energy_ry_per_atom": -0.349,
  "e_form_ev_per_atom": 0.80,
  "crystal_system": "cubic",
  "e_above_lowest_polymorph_ev_per_atom": 0.0000
}



{
  "formula": "Sb2MoPb",
  "functional": "GGA-PBE",
  "state": "optimized geometry",
  "cell": [[3.6482, 0.0000, 0.0000], [0.0000, 5.0532, 0.0000], [0.0000, 0.0000, 5.2489]],
  "species": ["Sb", "Sb", "Mo", "Pb"],
  "frac_coords": [[0.0000, 0.0000, 0.0000], [0.5000, 0.0000, 0.5000], [0.0000, 0.5000, 0.5000], [0.5000, 0.5000, 0.0000]],
  "sg": "Pmmm, No. 47",
  "total_energy_ry_per_atom": -0.367,
  "crystal_system": "orthorhombic"
}



Spin magnetization readings, ordered: 0.000; 0.000; 0.000; 0.000; 0.000; 0.496; 0.000; 0.500 μB/atom